Here is KMnNF2 after structural relaxation from Alexandria. Energies are from PBE with a Hubbard U.

Geometry as POSCAR:
```
KMnNF2
1.0
4.6343 0.0000 0.0000
0.0000 4.6343 0.0000
0.0000 0.0000 4.8668
K Mn N F
1 1 1 2
Cartesian
0.0000 0.0000 0.0000
2.3171 2.3171 2.4334
0.0000 0.0000 2.4334
0.0000 2.3171 0.0000
2.3171 0.0000 0.0000
```

- offset from the most stable computed form (meV per atom) = 1450